(1)
Here is an optimized crystal structure of MgTl2FeNi from the Alexandria database. Energies are from GGA-PBE.

Lattice parameters (Å, degrees): 5.0048 5.0048 4.8618 90.00 90.00 90.00
Closest atoms and distances in Å follow each position.
Fractional coordinates of all 5 atoms:
Mg 0.0000 0.0000 0.5000  2 Fe 2.43
Ni 0.5000 0.5000 0.5000  8 Tl 3.49, 4 Mg 3.54
Tl 0.0000 0.5000 0.0000  2 Fe 2.50
Tl 0.5000 0.0000 0.0000  2 Fe 2.50
Fe 0.0000 0.0000 0.0000  2 Mg 2.43, 4 Tl 2.50

Values from the calculation:
As for the crystal system: tetragonal. The formation enthalpy at 0 K is 0.853 eV per atom.

(2)
Here is an optimized crystal structure of MgVFeNi2 from the Alexandria database. Energies are from GGA-PBE.

Lattice parameters (Å, degrees): 4.2462 4.8087 4.2462 90.00 90.00 90.00
Closest atoms and distances in Å follow each position.
Fractional coordinates of all 5 atoms:
Ni 0.0000 0.0000 0.5000  2 V 2.12
Ni 0.5000 0.0000 0.0000  2 V 2.12
Mg 0.0000 0.5000 0.0000  2 V 2.40
Fe 0.5000 0.5000 0.5000  4 Mg 3.00, 8 Ni 3.21
V 0.0000 0.0000 0.0000  4 Ni 2.12

Values from the calculation:
As for the crystal system: tetragonal. The formation enthalpy at 0 K is 1.243 eV per atom.

(3)
Here is an optimized crystal structure of MgZnFeNi from the Alexandria database. Energies are from GGA-PBE.

Lattice parameters (Å, degrees): 4.2540 4.2540 4.2540 60.00 60.00 60.00
Closest atoms and distances in Å follow each position.
Fractional coordinates of all 4 atoms:
Mg 0.5000 0.5000 0.5000  4 Ni 2.61, 4 Zn 2.61
Ni 0.2500 0.2500 0.2500  4 Fe 2.61, 4 Mg 2.61
Zn 0.7500 0.7500 0.7500  4 Mg 2.61, 4 Fe 2.61
Fe 0.0000 0.0000 0.0000  4 Ni 2.61, 4 Zn 2.61

Values from the calculation:
As for the crystal system: cubic. The formation enthalpy at 0 K is 0.016 eV per atom.

(4)
Here is an optimized crystal structure of Mg2ZrFeNi from the Alexandria database. Energies are from GGA-PBE.

Lattice parameters (Å, degrees): 5.4150 4.2516 5.4150 90.00 90.00 90.00
Closest atoms and distances in Å follow each position.
Fractional coordinates of all 5 atoms:
Ni 0.5000 0.5000 0.5000  8 Mg 3.44, 4 Fe 3.83
Mg 0.0000 0.0000 0.5000  2 Zr 2.71
Mg 0.5000 0.0000 0.0000  2 Zr 2.71
Fe 0.0000 0.5000 0.0000  2 Zr 2.13
Zr 0.0000 0.0000 0.0000  2 Fe 2.13

Values from the calculation:
As for the crystal system: tetragonal. The formation enthalpy at 0 K is 1.581 eV per atom.

(5)
Here is an optimized crystal structure of MgZrFeNi from the Alexandria database. Energies are from GGA-PBE.

Lattice parameters (Å, degrees): 4.3984 4.3984 4.3984 60.00 60.00 60.00
Closest atoms and distances in Å follow each position.
Fractional coordinates of all 4 atoms:
Ni 0.0000 0.0000 0.0000  4 Zr 2.69, 4 Mg 2.69
Mg 0.2500 0.2500 0.2500  4 Fe 2.69, 4 Ni 2.69
Fe 0.5000 0.5000 0.5000  4 Mg 2.69, 4 Zr 2.69
Zr 0.7500 0.7500 0.7500  4 Ni 2.69, 4 Fe 2.69

Values from the calculation:
As for the crystal system: cubic. The formation enthalpy at 0 K is -0.094 eV per atom.

(6)
Here is an optimized crystal structure of MgNpFe2 from the Alexandria database. Energies are from GGA-PBE.

Lattice parameters (Å, degrees): 3.0366 4.5625 4.5625 90.00 90.00 90.00
Closest atoms and distances in Å follow each position.
Fractional coordinates of all 4 atoms:
Np 0.5000 0.0000 0.0000  8 Fe 2.74, 2 Np 3.04
Mg 0.5000 0.5000 0.5000  8 Fe 2.74, 2 Mg 3.04
Fe 0.0000 0.0000 0.5000  4 Mg 2.74, 4 Np 2.74, 2 Fe 3.04
Fe 0.0000 0.5000 0.0000  4 Mg 2.74, 4 Np 2.74, 2 Fe 3.04

Values from the calculation:
As for the crystal system: tetragonal. The formation enthalpy at 0 K is 0.175 eV per atom.

(7)
Here is an optimized crystal structure of MgNpFeOs from the Alexandria database. Energies are from GGA-PBE.

Lattice parameters (Å, degrees): 4.5699 4.5699 4.5699 60.00 60.00 60.00
Closest atoms and distances in Å follow each position.
Fractional coordinates of all 4 atoms:
Np 0.5000 0.5000 0.5000  4 Os 2.80, 4 Fe 2.80
Mg 0.0000 0.0000 0.0000  4 Fe 2.80, 4 Os 2.80
Os 0.2500 0.2500 0.2500  4 Mg 2.80, 4 Np 2.80
Fe 0.7500 0.7500 0.7500  4 Mg 2.80, 4 Np 2.80

Values from the calculation:
As for the crystal system: cubic. The formation enthalpy at 0 K is 0.155 eV per atom.

Uncorrected energy (computed, eV per atom): -3.261; -4.904; -4.262; -3.615; -6.191; -7.690; -8.402